Here is SrNiBr2 after structural relaxation from Alexandria via LeMat-Bulk. Energies are from PBE.

```
4
Lattice="-1.148 -1.598 -3.742 2.678 -2.277 2.349 -6.589 -3.930 3.701" Properties=species:S:1:pos:R:3 pbc="T T T"
Br -1.699 -3.407 0.687
Br -6.262 -3.735 3.517
Sr -4.001 -4.780 1.980
Ni -2.981 -1.778 1.674
```

Output
Symmetry: Cmm2 (35)
Energy relative to the elements, uncorrected (eV/atom): -0.71
DFT total energy (eV per atom): -3.42
Calculated volume (A^3/atom): 33.80


Here is PmYBr6 after structural relaxation from Alexandria via LeMat-Bulk. Energies are from PBE.

```
8
Lattice="7.006 0.150 0.905 1.511 6.016 3.379 0.058 -0.141 7.607" Properties=species:S:1:pos:R:3 pbc="T T T"
Br 2.715 3.606 4.447
Br 5.860 2.420 7.445
Br 3.174 5.277 8.649
Br 6.360 4.612 3.203
Br 5.401 0.748 3.243
Br 2.157 1.554 1.081
Pm 0.000 0.000 0.000
Y 4.258 3.083 2.142
```

Output
Symmetry: C2/m (12)
Energy relative to the elements, uncorrected (eV/atom): -1.84
DFT total energy (eV per atom): -4.50
Calculated volume (A^3/atom): 40.22


Here is YHo3Tm7 after structural relaxation from Alexandria via LeMat-Bulk. Energies are from PBE.

```
11
Lattice="0.002 5.482 1.564 -7.208 -3.570 2.109 2.966 -4.730 6.163" Properties=species:S:1:pos:R:3 pbc="T T T"
Ho -5.088 -3.812 2.954
Ho 0.846 -4.488 5.318
Ho 0.001 2.741 0.782
Y -2.120 -1.409 4.918
Tm 1.111 1.935 3.599
Tm -0.874 -0.577 2.028
Tm -3.367 -2.242 7.808
Tm -2.121 -4.150 4.136
Tm -1.385 -5.206 7.818
Tm -5.351 -4.754 6.238
Tm -2.856 2.387 2.019
```

Output
Symmetry: Immm (71)
DFT total energy (eV per atom): -4.40
Calculated volume (A^3/atom): 31.61
Calculated formation energy (eV per formula unit): 3.12


Here is BaOsSe2 after structural relaxation from Alexandria via LeMat-Bulk. Energies are from PBE.

```
4
Lattice="4.148 0.000 0.002 2.076 3.592 0.002 2.071 1.195 6.270" Properties=species:S:1:pos:R:3 pbc="T T T"
Ba 6.221 3.590 4.705
Os 2.074 1.197 1.568
Se 6.223 3.591 0.545
Se 4.148 2.394 2.596
```

Output
Symmetry: R-3m (166)
Energy relative to the elements, uncorrected (eV/atom): -0.63
DFT total energy (eV per atom): -5.66
Calculated volume (A^3/atom): 23.35


Here is AsOsSBr2 after structural relaxation from Alexandria via LeMat-Bulk. Energies are from PBE.

```
5
Lattice="4.851 0.000 0.000 0.000 4.851 0.000 0.000 0.000 5.210" Properties=species:S:1:pos:R:3 pbc="T T T"
S 0.000 0.000 0.000
Br 2.425 0.000 0.000
Br 0.000 2.425 0.000
As 0.000 0.000 2.605
Os 2.425 2.425 2.605
```

Output
Symmetry: P4/mmm (123)
Energy relative to the elements, uncorrected (eV/atom): 1.64
DFT total energy (eV per atom): -3.03
Calculated volume (A^3/atom): 24.52


Here is Er6Si2HgTe3 after structural relaxation from Alexandria via LeMat-Bulk. Energies are from PBE.

```
12
Lattice="-2.721 0.061 3.187 1.086 -8.503 1.091 7.784 4.076 3.813" Properties=species:S:1:pos:R:3 pbc="T T T"
Hg -1.361 0.031 1.593
Si 3.657 -2.920 5.936
Si 2.491 -1.446 2.155
Te 3.133 1.342 5.406
Te 3.015 -5.707 2.685
Te -0.818 -4.221 2.139
Er 5.233 -4.872 4.563
Er 4.650 -1.057 3.991
Er 0.387 -2.086 0.371
Er 1.499 -3.309 4.099
Er 0.915 0.506 3.528
Er 5.761 -2.279 7.720
```

Output
Symmetry: C2/m (12)
Energy relative to the elements, uncorrected (eV/atom): -0.97
DFT total energy (eV per atom): -4.96
Calculated volume (A^3/atom): 27.13


Here is DyHoCd after structural relaxation from Alexandria via LeMat-Bulk. Energies are from PBE.

```
3
Lattice="-0.662 4.782 -1.724 -1.384 0.798 -4.875 -4.716 1.703 -1.087" Properties=species:S:1:pos:R:3 pbc="T T T"
Dy -5.071 5.462 -5.764
Cd -0.662 4.782 -1.724
Ho -1.690 1.821 -1.921
```

Output
Symmetry: F-43m (216)
DFT total energy (eV per atom): -3.27
Calculated volume (A^3/atom): 31.79
Calculated formation energy (eV per formula unit): 0.29


Here is PmHoSi4 after structural relaxation from Alexandria via LeMat-Bulk. Energies are from PBE.

```
24
Lattice="4.096 0.000 0.000 0.000 8.290 0.000 0.000 0.000 14.613" Properties=species:S:1:pos:R:3 pbc="T T T"
Ho 0.000 5.310 1.279
Ho 0.000 7.126 8.586
Ho 0.000 2.981 13.334
Ho 0.000 1.164 6.027
Si 2.048 3.091 6.801
Si 2.048 6.735 2.848
Si 2.048 0.241 4.268
Si 2.048 4.387 3.039
Si 2.048 8.049 10.345
Si 2.048 5.701 10.154
Si 2.048 5.200 7.812
Si 2.048 7.236 0.506
Si 2.048 3.132 0.886
Si 2.048 2.590 4.458
Si 2.048 1.013 8.192
Si 2.048 1.055 14.107
Si 2.048 5.158 13.727
Si 2.048 3.904 11.574
Si 2.048 1.556 11.765
Si 2.048 7.277 6.421
Pm 0.000 3.207 9.292
Pm 0.000 5.083 5.321
Pm 0.000 0.938 1.985
Pm 0.000 7.352 12.627
```

Output
Symmetry: Pbam (55)
Energy relative to the elements, uncorrected (eV/atom): -0.44
DFT total energy (eV per atom): -5.61
Calculated volume (A^3/atom): 20.68